No. 1
The following is a DFT calculation (PBE) of a relaxed Tb3PuTh4S8 crystal.

Calculated values
size of the total moment	5.28	μB per formula unit
Fermi-level density of states	34.4	states/eV per cell
ΔE_f (raw)	-183.29	kJ/mol of atoms

```
data_Tb3PuTh4S8
_cell_length_a 7.8737
_cell_length_b 7.8737
_cell_length_c 20.0134
_cell_angle_alpha 90.00
_cell_angle_beta 90.00
_cell_angle_gamma 120.00
_symmetry_space_group_name_H-M 'R -3 m'
_symmetry_Int_Tables_number 166
_symmetry_space_group_name_Hall '-R 3 2"'
loop_
_atom_site_label
_atom_site_fract_x
_atom_site_fract_y
_atom_site_fract_z
Tb1 0.0000 0.5000 0.0000
Pu1 0.0000 0.0000 0.0000
Th1 0.0000 0.0000 0.5000
Th2 0.0000 0.5000 0.5000
S1 0.0000 0.0000 0.2544
S2 0.0013 0.5006 0.2542
```

No. 2
The following is a DFT calculation (PBE) of a relaxed Sc6ZnCu2 crystal.

Calculated values
size of the total moment	0.00	μB per formula unit
Fermi-level density of states	36.9	states/eV per cell
formation energy from the elements	-0.194	eV per atom

```
data_Sc6ZnCu2
_cell_length_a 8.829
_cell_length_b 9.045
_cell_length_c 9.208
_cell_angle_alpha 90.00
_cell_angle_beta 90.00
_cell_angle_gamma 90.00
_symmetry_space_group_name_H-M 'I m m m'
_symmetry_Int_Tables_number 71
_symmetry_space_group_name_Hall '-I 2 2'
loop_
_atom_site_label
_atom_site_fract_x
_atom_site_fract_y
_atom_site_fract_z
Sc1 0.000 0.217 0.177
Sc2 0.181 0.227 0.500
Sc3 0.200 0.500 0.258
Zn1 0.000 0.500 0.000
Zn2 0.000 0.500 0.500
Cu1 0.000 0.000 0.370
Cu2 0.142 0.000 0.000
```

No. 3
The following is a DFT calculation (PBE) of a relaxed Li3AlCl6 crystal.

Calculated values
size of the total moment	0.00	μB per formula unit
Fermi-level density of states	0.0	states/eV per cell
ΔE_f (raw)	-158.46	kJ/mol of atoms

```
data_Li3AlCl6
_cell_length_a 6.203
_cell_length_b 6.723
_cell_length_c 11.378
_cell_angle_alpha 90.00
_cell_angle_beta 121.69
_cell_angle_gamma 90.00
_symmetry_space_group_name_H-M 'P 1 21/c 1'
_symmetry_Int_Tables_number 14
loop_
_symmetry_equiv_pos_as_xyz
'x,y,z'
'-x,-y,-z'
'-x,y+1/2,-z+1/2'
'x,-y+1/2,z+1/2'
loop_
_atom_site_label
_atom_site_fract_x
_atom_site_fract_y
_atom_site_fract_z
Li1 0.000 0.000 0.000
Li2 0.166 0.096 0.675
Al1 0.500 0.000 0.500
Cl1 0.142 0.066 0.276
Cl2 0.239 0.684 0.053
Cl3 0.408 0.218 0.083
```

No. 4
The following is a DFT calculation (PBE) of a relaxed Tb2NdCdC crystal.

Calculated values
size of the total moment	0.00	μB per formula unit
Fermi-level density of states	5.8	states/eV per cell
formation energy from the elements	-0.235	eV per atom

```
data_Tb2NdCdC
_cell_length_a 4.941
_cell_length_b 4.941
_cell_length_c 5.181
_cell_angle_alpha 90.00
_cell_angle_beta 90.00
_cell_angle_gamma 90.00
_symmetry_space_group_name_H-M 'P 4/m m m'
_symmetry_Int_Tables_number 123
_symmetry_space_group_name_Hall '-P 4 2'
loop_
_atom_site_label
_atom_site_fract_x
_atom_site_fract_y
_atom_site_fract_z
Tb1 0.000 0.500 0.000
Nd1 0.000 0.000 0.500
Cd1 0.500 0.500 0.500
C1 0.000 0.000 0.000
```

No. 5
The following is a DFT calculation (PBE) of a relaxed In4TeRu crystal.

Calculated values
size of the total moment	2.00	μB per formula unit
Fermi-level density of states	19.1	states/eV per cell
ΔE_f (raw)	60.95	kJ/mol of atoms

```
data_In4TeRu
_cell_length_a 8.484
_cell_length_b 8.484
_cell_length_c 8.484
_cell_angle_alpha 90.00
_cell_angle_beta 90.00
_cell_angle_gamma 90.00
_symmetry_space_group_name_H-M 'F -4 3 m'
_symmetry_Int_Tables_number 216
_symmetry_space_group_name_Hall 'F -4 2 3'
loop_
_atom_site_label
_atom_site_fract_x
_atom_site_fract_y
_atom_site_fract_z
In1 0.124 0.124 0.124
Te1 0.000 0.000 0.500
Ru1 0.250 0.250 0.750
```

No. 6
The following is a DFT calculation (PBE) of a relaxed NdSm3Dy2Te6 crystal.

Calculated values
size of the total moment	0.00	μB per formula unit
Fermi-level density of states	13.3	states/eV per cell
ΔE_f (raw)	-130.81	kJ/mol of atoms

```
data_NdSm3Dy2Te6
_cell_length_a 19.268
_cell_length_b 4.398
_cell_length_c 8.898
_cell_angle_alpha 90.00
_cell_angle_beta 103.06
_cell_angle_gamma 90.00
_symmetry_space_group_name_H-M 'C 1 2/m 1'
_symmetry_Int_Tables_number 12
loop_
_symmetry_equiv_pos_as_xyz
'x,y,z'
'-x,-y,-z'
'-x,y,-z'
'x,-y,z'
'x+1/2,y+1/2,z'
'-x+1/2,-y+1/2,-z'
'-x+1/2,y+1/2,-z'
'x+1/2,-y+1/2,z'
loop_
_atom_site_label
_atom_site_fract_x
_atom_site_fract_y
_atom_site_fract_z
Nd1 0.000 0.000 0.000
Sm1 0.000 0.000 0.500
Sm2 0.162 0.500 0.833
Dy1 0.165 0.500 0.330
Te1 0.003 0.500 0.255
Te2 0.169 0.000 0.579
Te3 0.170 0.000 0.090
```

No. 7
The following is a DFT calculation (PBE) of a relaxed HgPb5Au crystal.

Calculated values
size of the total moment	0.00	μB per formula unit
Fermi-level density of states	14.6	states/eV per cell
formation energy from the elements	0.045	eV per atom

```
data_HgPb5Au
_cell_length_a 11.941
_cell_length_b 6.326
_cell_length_c 11.515
_cell_angle_alpha 90.00
_cell_angle_beta 106.66
_cell_angle_gamma 90.00
_symmetry_space_group_name_H-M 'C 1 2/c 1'
_symmetry_Int_Tables_number 15
loop_
_symmetry_equiv_pos_as_xyz
'x,y,z'
'-x,-y,-z'
'-x,y,-z+1/2'
'x,-y,z+1/2'
'x+1/2,y+1/2,z'
'-x+1/2,-y+1/2,-z'
'-x+1/2,y+1/2,-z+1/2'
'x+1/2,-y+1/2,z+1/2'
loop_
_atom_site_label
_atom_site_fract_x
_atom_site_fract_y
_atom_site_fract_z
Hg1 0.000 0.149 0.250
Pb1 0.000 0.352 0.750
Pb2 0.140 0.103 0.530
Pb3 0.231 0.380 0.166
Au1 0.000 0.500 0.000
```

No. 8
The following is a DFT calculation (PBE) of a relaxed YHoTm2Se6 crystal.

Calculated values
size of the total moment	0.00	μB per formula unit
Fermi-level density of states	0.0	states/eV per cell
ΔE_f (raw)	-178.24	kJ/mol of atoms

```
data_YHoTm2Se6
_cell_length_a 7.1451
_cell_length_b 7.1451
_cell_length_c 19.3345
_cell_angle_alpha 90.00
_cell_angle_beta 90.00
_cell_angle_gamma 120.00
_symmetry_space_group_name_H-M 'R 3'
_symmetry_Int_Tables_number 146
_symmetry_space_group_name_Hall 'R 3'
loop_
_atom_site_label
_atom_site_fract_x
_atom_site_fract_y
_atom_site_fract_z
Y1 0.0000 0.0000 0.0000
Ho1 0.0000 0.0000 0.4996
Tm1 0.0000 0.0000 0.3049
Tm2 0.0000 0.0000 0.8051
Se1 0.0055 0.6961 0.9008
Se2 0.0071 0.3087 0.4011
```

No. 9
The following is a DFT calculation (PBE) of a relaxed CeErInSn crystal.

Calculated values
size of the total moment	0.99	μB per formula unit
Fermi-level density of states	33.1	states/eV per cell
formation energy from the elements	-0.462	eV per atom

```
data_CeErInSn
_cell_length_a 7.600
_cell_length_b 7.600
_cell_length_c 7.600
_cell_angle_alpha 90.00
_cell_angle_beta 90.00
_cell_angle_gamma 90.00
_symmetry_space_group_name_H-M 'F -4 3 m'
_symmetry_Int_Tables_number 216
_symmetry_space_group_name_Hall 'F -4 2 3'
loop_
_atom_site_label
_atom_site_fract_x
_atom_site_fract_y
_atom_site_fract_z
Ce1 0.000 0.000 0.000
Er1 0.000 0.000 0.500
In1 0.250 0.250 0.250
Sn1 0.250 0.250 0.750
```

No. 10
The following is a DFT calculation (PBE) of a relaxed Ac8Ir4Pb crystal.

Calculated values
size of the total moment	0.00	μB per formula unit
Fermi-level density of states	15.7	states/eV per cell
formation energy from the elements	-0.568	eV per atom

```
data_Ac8Ir4Pb
_cell_length_a 20.414
_cell_length_b 4.388
_cell_length_c 13.983
_cell_angle_alpha 90.00
_cell_angle_beta 130.10
_cell_angle_gamma 90.00
_symmetry_space_group_name_H-M 'C 1 2/m 1'
_symmetry_Int_Tables_number 12
loop_
_symmetry_equiv_pos_as_xyz
'x,y,z'
'-x,-y,-z'
'-x,y,-z'
'x,-y,z'
'x+1/2,y+1/2,z'
'-x+1/2,-y+1/2,-z'
'-x+1/2,y+1/2,-z'
'x+1/2,-y+1/2,z'
loop_
_atom_site_label
_atom_site_fract_x
_atom_site_fract_y
_atom_site_fract_z
Ac1 0.041 0.000 0.252
Ac2 0.130 0.500 0.087
Ac3 0.161 0.500 0.833
Ac4 0.204 0.500 0.574
Ir1 0.145 0.000 0.964
Ir2 0.163 0.500 0.328
Pb1 0.000 0.000 0.500
```

No. 11
The following is a DFT calculation (PBE) of a relaxed DyUPb crystal.

Calculated values
size of the total moment	1.70	μB per formula unit
Fermi-level density of states	21.7	states/eV per cell
formation energy from the elements	-0.109	eV per atom

```
data_DyUPb
_cell_length_a 17.010
_cell_length_b 3.820
_cell_length_c 4.978
_cell_angle_alpha 90.00
_cell_angle_beta 93.64
_cell_angle_gamma 90.00
_symmetry_space_group_name_H-M 'C 1 2/m 1'
_symmetry_Int_Tables_number 12
loop_
_symmetry_equiv_pos_as_xyz
'x,y,z'
'-x,-y,-z'
'-x,y,-z'
'x,-y,z'
'x+1/2,y+1/2,z'
'-x+1/2,-y+1/2,-z'
'-x+1/2,y+1/2,-z'
'x+1/2,-y+1/2,z'
loop_
_atom_site_label
_atom_site_fract_x
_atom_site_fract_y
_atom_site_fract_z
Dy1 0.073 0.000 0.258
U1 0.240 0.500 0.331
Pb1 0.103 0.500 0.769
```

No. 12
The following is a DFT calculation (PBE) of a relaxed Sr3HfSn crystal.

Calculated values
size of the total moment	3.84	μB per formula unit
Fermi-level density of states	10.1	states/eV per cell
formation energy from the elements	0.643	eV per atom

```
data_Sr3HfSn
_cell_length_a 6.247
_cell_length_b 6.247
_cell_length_c 6.247
_cell_angle_alpha 90.00
_cell_angle_beta 90.00
_cell_angle_gamma 90.00
_symmetry_space_group_name_H-M 'P m -3 m'
_symmetry_Int_Tables_number 221
_symmetry_space_group_name_Hall '-P 4 2 3'
loop_
_atom_site_label
_atom_site_fract_x
_atom_site_fract_y
_atom_site_fract_z
Sr1 0.000 0.000 0.500
Hf1 0.500 0.500 0.500
Sn1 0.000 0.000 0.000
```